Tl6AsPb, relaxed, DFT PBE; formation energy = 39 meV per atom; SG = Amm2 (38); crystal system = orthorhombic; total DFT energy (no corrections) = -2.781 eV/atom
1.0
5.006 0.000 0.000
0.000 4.409 5.499
0.000 -4.409 5.499
Tl As Pb
6 1 1
Direct
0.000 0.000 0.000
0.000 0.074 0.476
0.000 0.476 0.074
0.500 0.267 0.740
0.500 0.740 0.267
0.500 0.765 0.765
0.500 0.185 0.185
0.000 0.553 0.553



Mn2FeHgC, relaxed, DFT PBE; formation energy = 619 meV per atom; SG = P4/mmm (123); crystal system = tetragonal; total DFT energy (no corrections) = -6.646 eV/atom
1.0
3.880 0.000 0.000
0.000 3.880 0.000
0.000 0.000 4.518
Mn Fe Hg C
2 1 1 1
Direct
0.000 0.500 0.000
0.500 0.000 0.000
0.000 0.000 0.500
0.500 0.500 0.500
0.500 0.500 0.000



HOs2RhF, relaxed, DFT PBE; SG = P4/mmm (123); crystal system = tetragonal; total DFT energy (no corrections) = -4.901 eV/atom
1.0
4.774 0.000 0.000
0.000 4.774 0.000
0.000 0.000 3.998
H Os Rh F
1 2 1 1
Direct
0.000 0.000 0.000
0.000 0.500 0.500
0.500 0.000 0.500
0.500 0.500 0.500
0.500 0.500 0.000



Sc2TcMo, relaxed, DFT PBE; formation energy = 75 meV per atom; SG = Cmmm (65); offset from the most stable computed form = 0.1979 eV per atom; crystal system = orthorhombic; total DFT energy (no corrections) = -8.390 eV/atom
1.0
1.638 -2.400 0.000
1.638 2.400 0.000
0.000 0.000 8.971
Sc Tc Mo
2 1 1
Direct
0.000 0.000 0.238
0.000 0.000 0.762
0.500 0.500 0.000
0.500 0.500 0.500



YReRh2, relaxed, DFT PBE; formation energy = -84 meV per atom; SG = P4/mmm (123); offset from the most stable computed form = 0.0877 eV per atom; crystal system = tetragonal; total DFT energy (no corrections) = -8.488 eV/atom
1.0
4.794 0.000 0.000
0.000 4.794 0.000
0.000 0.000 2.936
Y Re Rh
1 1 2
Direct
0.000 0.000 0.000
0.500 0.500 0.000
0.000 0.500 0.500
0.500 0.000 0.500



AsAuCBr2, relaxed, DFT PBE; SG = P4/mmm (123); offset from the most stable computed form = 0.0000 eV per atom; crystal system = tetragonal; formation energy (no corrections) = 1304.4 meV per atom; total DFT energy (no corrections) = -2.795 eV/atom
1.0
4.821 0.000 0.000
0.000 4.821 0.000
0.000 0.000 4.328
As Au C Br
1 1 1 2
Direct
0.000 0.000 0.000
0.500 0.500 0.000
0.000 0.000 0.500
0.000 0.500 0.500
0.500 0.000 0.500



TiNbPIr2, relaxed, DFT PBE; formation energy = 1304 meV per atom; SG = P4/mmm (123); crystal system = tetragonal; total DFT energy (no corrections) = -6.916 eV/atom
1.0
4.540 0.000 0.000
0.000 4.540 0.000
0.000 0.000 4.767
Ti Nb P Ir
1 1 1 2
Direct
0.000 0.000 0.000
0.000 0.000 0.500
0.500 0.500 0.500
0.000 0.500 0.000
0.500 0.000 0.000



CsK6Rb8, relaxed, DFT PBE; formation energy = 38 meV per atom; SG = R-3 (148); offset from the most stable computed form = 0.0178 eV per atom; crystal system = trigonal; total DFT energy (no corrections) = -0.974 eV/atom
1.0
6.118 3.532 10.231
-6.118 3.532 10.231
0.000 -7.065 10.231
Cs K Rb
1 6 8
Direct
0.000 0.000 0.000
0.132 0.379 0.611
0.379 0.611 0.132
0.389 0.868 0.621
0.611 0.132 0.379
0.621 0.389 0.868
0.868 0.621 0.389
0.142 0.855 0.386
0.145 0.614 0.858
0.252 0.252 0.252
0.386 0.142 0.855
0.614 0.858 0.145
0.748 0.748 0.748
0.855 0.386 0.142
0.858 0.145 0.614



| no. | calculated density (g cm⁻³) |
| --- | --- |
| 1 | 10.32 |
| 2 | 9.24 |
| 3 | 9.17 |
| 4 | 6.68 |
| 5 | 11.84 |
| 6 | 7.32 |
| 7 | 9.40 |
| 8 | 1.32 |